a:
A plane-wave DFT calculation with PBE was carried out for Hg2BiB after structural relaxation.

Cell and atoms, written as POSCAR:
```
Hg2BiB
1.0
-3.512 3.512 3.909
3.512 -3.512 3.909
3.512 3.512 -3.909
Hg Bi B
4 2 2
Direct
0.019 0.625 0.894
0.375 0.269 0.394
0.731 0.125 0.106
0.875 0.981 0.606
0.250 0.750 0.500
0.500 0.500 0.000
0.000 0.000 0.000
0.750 0.250 0.500
```

=====

b:
A plane-wave DFT calculation with PBE was carried out for Hg2BiB after structural relaxation.

Cell and atoms, written as POSCAR:
```
Hg2BiB
1.0
0.000 3.606 3.606
3.606 0.000 3.606
3.606 3.606 0.000
Hg Bi B
2 1 1
Direct
0.250 0.250 0.250
0.750 0.750 0.750
0.000 0.000 0.000
0.500 0.500 0.500
```

=====

Of them, b has the lowest stability.

=====

a:
A plane-wave DFT calculation with PBE was carried out for HgBi2B after structural relaxation.

Cell and atoms, written as POSCAR:
```
HgBi2B
1.0
0.000 3.646 3.646
3.646 0.000 3.646
3.646 3.646 0.000
Hg Bi B
1 2 1
Direct
0.000 0.000 0.000
0.250 0.250 0.250
0.750 0.750 0.750
0.500 0.500 0.500
```

=====

b:
A plane-wave DFT calculation with PBE was carried out for HgBi2B after structural relaxation.

Cell and atoms, written as POSCAR:
```
HgBi2B
1.0
-3.172 3.172 5.754
3.172 -3.172 5.754
3.172 3.172 -5.754
Hg Bi B
2 4 2
Direct
0.000 0.000 0.000
0.750 0.250 0.500
0.194 0.625 0.069
0.375 0.444 0.569
0.556 0.125 0.931
0.875 0.806 0.431
0.250 0.750 0.500
0.500 0.500 0.000
```

=====

Of them, a has the lowest stability.

=====

a:
A plane-wave DFT calculation with PBE was carried out for Hg2BiBTe after structural relaxation.

Cell and atoms, written as POSCAR:
```
Hg2BiBTe
1.0
4.550 0.000 0.000
0.000 4.550 0.000
0.000 0.000 6.008
Hg Bi B Te
2 1 1 1
Direct
0.000 0.500 0.000
0.500 0.000 0.000
0.000 0.000 0.500
0.000 0.000 0.000
0.500 0.500 0.500
```

=====

b:
A plane-wave DFT calculation with PBE was carried out for Hg2BiBTe after structural relaxation.

Cell and atoms, written as POSCAR:
```
Hg2BiBTe
1.0
5.902 0.000 0.000
0.000 5.902 0.000
0.000 0.000 6.091
Hg Bi B Te
2 1 1 1
Direct
0.000 0.500 0.000
0.500 0.000 0.000
0.000 0.000 0.000
0.500 0.500 0.500
0.000 0.000 0.500
```

=====

Of them, b has the lowest stability.

=====

a:
A plane-wave DFT calculation with PBE was carried out for BiBI2 after structural relaxation.

Cell and atoms, written as POSCAR:
```
BiBI2
1.0
0.000 3.839 3.839
3.839 0.000 3.839
3.839 3.839 0.000
Bi B I
1 1 2
Direct
0.000 0.000 0.000
0.500 0.500 0.500
0.250 0.250 0.250
0.750 0.750 0.750
```

=====

b:
A plane-wave DFT calculation with PBE was carried out for BiBI2 after structural relaxation.

Cell and atoms, written as POSCAR:
```
BiBI2
1.0
-3.665 3.665 5.432
3.665 -3.665 5.432
3.665 3.665 -5.432
Bi B I
2 2 4
Direct
0.000 0.000 0.000
0.750 0.250 0.500
0.250 0.750 0.500
0.500 0.500 0.000
0.316 0.625 0.191
0.375 0.566 0.691
0.434 0.125 0.809
0.875 0.684 0.309
```

=====

Of them, a has the lowest stability.

=====

a:
A plane-wave DFT calculation with PBE was carried out for BiB3I after structural relaxation.

Cell and atoms, written as POSCAR:
```
BiB3I
1.0
4.935 0.000 0.000
0.000 4.935 0.000
0.000 0.000 4.935
Bi B I
1 3 1
Direct
0.000 0.000 0.000
0.000 0.000 0.500
0.000 0.500 0.000
0.500 0.000 0.000
0.500 0.500 0.500
```

=====

b:
A plane-wave DFT calculation with PBE was carried out for BiB3I after structural relaxation.

Cell and atoms, written as POSCAR:
```
BiB3I
1.0
4.527 0.000 0.000
0.000 4.527 0.000
0.000 0.000 4.527
Bi B I
1 3 1
Direct
0.000 0.000 0.000
0.000 0.500 0.500
0.500 0.000 0.500
0.500 0.500 0.000
0.500 0.500 0.500
```

=====

Of them, b has the lowest stability.

=====

a:
A plane-wave DFT calculation with PBE was carried out for BiB2I after structural relaxation.

Cell and atoms, written as POSCAR:
```
BiB2I
1.0
-2.701 2.701 6.342
2.701 -2.701 6.342
2.701 2.701 -6.342
Bi B I
2 4 2
Direct
0.000 0.000 0.000
0.750 0.250 0.500
0.116 0.625 0.991
0.375 0.366 0.491
0.634 0.125 0.009
0.875 0.884 0.509
0.250 0.750 0.500
0.500 0.500 0.000
```

=====

b:
A plane-wave DFT calculation with PBE was carried out for BiB2I after structural relaxation.

Cell and atoms, written as POSCAR:
```
BiB2I
1.0
0.000 3.381 3.381
3.381 0.000 3.381
3.381 3.381 0.000
Bi B I
1 2 1
Direct
0.000 0.000 0.000
0.250 0.250 0.250
0.750 0.750 0.750
0.500 0.500 0.500
```

=====

Of them, b has the lowest stability.

=====

a:
A plane-wave DFT calculation with PBE was carried out for Bi3BI after structural relaxation.

Cell and atoms, written as POSCAR:
```
Bi3BI
1.0
5.956 0.000 0.000
0.000 5.956 0.000
0.000 0.000 5.956
Bi B I
3 1 1
Direct
0.000 0.000 0.500
0.000 0.500 0.000
0.500 0.000 0.000
0.500 0.500 0.500
0.000 0.000 0.000
```

=====

b:
A plane-wave DFT calculation with PBE was carried out for Bi3BI after structural relaxation.

Cell and atoms, written as POSCAR:
```
Bi3BI
1.0
5.220 0.000 0.000
0.000 5.220 0.000
0.000 0.000 5.220
Bi B I
3 1 1
Direct
0.000 0.000 0.500
0.000 0.500 0.000
0.500 0.000 0.000
0.000 0.000 0.000
0.500 0.500 0.500
```

=====

Of them, a has the lowest stability.

=====

a:
A plane-wave DFT calculation with PBE was carried out for BiBI2N after structural relaxation.

Cell and atoms, written as POSCAR:
```
BiBI2N
1.0
8.036 0.000 0.000
0.000 8.036 0.000
0.000 0.000 2.777
Bi B I N
1 1 2 1
Direct
0.000 0.000 0.000
0.500 0.500 0.500
0.000 0.500 0.500
0.500 0.000 0.500
0.500 0.500 0.000
```

=====

b:
A plane-wave DFT calculation with PBE was carried out for BiBI2N after structural relaxation.

Cell and atoms, written as POSCAR:
```
BiBI2N
1.0
6.321 0.000 0.000
0.000 6.321 0.000
0.000 0.000 4.250
Bi B I N
1 1 2 1
Direct
0.000 0.000 0.000
0.500 0.500 0.500
0.000 0.500 0.000
0.500 0.000 0.000
0.000 0.000 0.500
```

=====

Of them, b has the lowest stability.